# 1
! MoOsBr4 PBE-GGA relaxed; values from VASP
! DOS(E_F)   1.72 states/eV per atom
! VASP energy   -2.711 eV per atom
! Formation energy without anion corrections   2082 meV per atom
&SYSTEM
  ibrav = 0, nat = 6, ntyp = 3
/
ATOMIC_SPECIES
Mo 95.94 Mo.upf
Os 190.23 Os.upf
Br 79.90 Br.upf
CELL_PARAMETERS angstrom
0.000 4.302 4.302
4.302 0.000 4.302
4.302 4.302 0.000
ATOMIC_POSITIONS angstrom
Mo 6.453 6.453 6.453
Os 0.000 0.000 0.000
Br 3.220 5.385 5.385
Br 5.385 5.385 3.220
Br 5.385 3.220 5.385
Br 3.220 3.220 3.220

# 2
! MoOs2Br PBE-GGA relaxed; values from VASP
! DOS(E_F)   1.01 states/eV per atom
! VASP energy   -7.924 eV per atom
! Distance to the lowest polymorph of the same formula   177 meV per atom
! Formation energy without anion corrections   816 meV per atom
&SYSTEM
  ibrav = 0, nat = 4, ntyp = 3
/
ATOMIC_SPECIES
Mo 95.94 Mo.upf
Os 190.23 Os.upf
Br 79.90 Br.upf
CELL_PARAMETERS angstrom
-5.058 -0.286 -1.082
-4.844 -0.417 1.788
-0.544 4.438 0.242
ATOMIC_POSITIONS angstrom
Mo -2.612 0.934 0.237
Os -9.628 -0.589 0.691
Os -5.497 1.754 0.489
Br -7.835 2.801 0.711

# 3
! MoOs2Br PBE-GGA relaxed; values from VASP
! DOS(E_F)   0.89 states/eV per atom
! VASP energy   -8.036 eV per atom
! Distance to the lowest polymorph of the same formula   65 meV per atom
! Formation energy without anion corrections   704 meV per atom
&SYSTEM
  ibrav = 0, nat = 4, ntyp = 3
/
ATOMIC_SPECIES
Mo 95.94 Mo.upf
Os 190.23 Os.upf
Br 79.90 Br.upf
CELL_PARAMETERS angstrom
-0.444 -1.795 -9.254
-0.993 -4.415 -8.282
-3.105 -2.522 -8.547
ATOMIC_POSITIONS angstrom
Mo -3.406 -6.549 -19.562
Os -0.031 -0.060 -0.181
Os -2.239 -4.305 -12.861
Br -1.135 -2.183 -6.521

# 4
! MoOs2Br PBE-GGA relaxed; values from VASP
! DOS(E_F)   0.64 states/eV per atom
! VASP energy   -7.624 eV per atom
! Distance to the lowest polymorph of the same formula   478 meV per atom
! Formation energy without anion corrections   1117 meV per atom
&SYSTEM
  ibrav = 0, nat = 4, ntyp = 3
/
ATOMIC_SPECIES
Mo 95.94 Mo.upf
Os 190.23 Os.upf
Br 79.90 Br.upf
CELL_PARAMETERS angstrom
-2.387 -3.726 -0.566
-1.598 -2.185 3.546
-4.382 0.010 0.837
ATOMIC_POSITIONS angstrom
Mo -6.276 -4.426 2.863
Os 0.000 0.000 0.000
Os -2.092 -1.475 0.954
Br -4.184 -2.951 1.909

Question: Among the records above, which one has the highest DOS(E_F)?
Answer: MoOsBr4